DFT (GGA-PBE) results for a relaxed structure of K2RbBi2.

The structure in POSCAR format:
```
K2RbBi2
1.0
9.523 0.000 0.000
0.000 9.523 0.000
0.000 0.000 5.118
K Rb Bi
4 2 4
Cartesian
1.599 3.163 0.000
3.163 7.924 0.000
6.360 1.599 0.000
7.924 6.360 0.000
0.000 0.000 2.559
4.762 4.762 2.559
1.066 5.828 2.559
3.696 1.066 2.559
5.828 8.457 2.559
8.457 3.696 2.559
```

Output
The energy of formation comes out at -0.299 eV per atom. The value obtained for the polymorph energy (0 for the lowest one) is 2.0 kJ/mol of atoms. As for the volume: 464 Å³/cell.